! La3CeGe2 PBE-GGA relaxed; values from VASP
&SYSTEM
  ibrav = 0, nat = 6, ntyp = 3
/
ATOMIC_SPECIES
La 138.91 La.upf
Ce 140.12 Ce.upf
Ge 72.64 Ge.upf
CELL_PARAMETERS angstrom
4.4874 0.0000 0.0000
0.0000 4.4874 0.0000
0.0000 0.0000 8.6063
ATOMIC_POSITIONS angstrom
La 0.0000 0.0000 0.0000
La 0.0000 2.2437 5.4831
La 2.2437 0.0000 3.1233
Ce 2.2437 2.2437 0.0000
Ge 0.0000 2.2437 2.2890
Ge 2.2437 0.0000 6.3173
! **Total magnetization**: 1.1 μB/cell
! **Space group**: P-4m2
! **ΔE to the lowest computed polymorph**: 0.03 eV/f.u.

! LiZrGePt PBE-GGA relaxed; values from VASP
&SYSTEM
  ibrav = 0, nat = 16, ntyp = 4
/
ATOMIC_SPECIES
Li 6.94 Li.upf
Zr 91.22 Zr.upf
Ge 72.64 Ge.upf
Pt 195.08 Pt.upf
CELL_PARAMETERS angstrom
6.4704 0.0000 0.0000
0.0000 6.4704 0.0000
0.0000 0.0000 6.4704
ATOMIC_POSITIONS angstrom
Li 0.0000 0.0000 0.0000
Li 0.0000 3.2352 3.2352
Li 3.2352 0.0000 3.2352
Li 3.2352 3.2352 0.0000
Zr 0.0000 0.0000 3.2352
Zr 0.0000 3.2352 0.0000
Zr 3.2352 0.0000 0.0000
Zr 3.2352 3.2352 3.2352
Ge 1.6176 1.6176 1.6176
Ge 1.6176 4.8528 4.8528
Ge 4.8528 1.6176 4.8528
Ge 4.8528 4.8528 1.6176
Pt 1.6176 1.6176 4.8528
Pt 1.6176 4.8528 1.6176
Pt 4.8528 1.6176 1.6176
Pt 4.8528 4.8528 4.8528
! **Total magnetization**: 0.0 μB/cell
! **Space group**: F-43m

no.,calculated formation energy (eV per formula unit)
1,-3.60
2,-2.76